(1)
# Ca2HgO GGA-PBE relaxed
data_Ca2HgO
_symmetry_space_group_name_H-M 'I -4 2 d'
_symmetry_Int_Tables_number 122
_symmetry_space_group_name_Hall 'I -4 2bw'
_cell_length_a 6.802
_cell_length_b 6.802
_cell_length_c 8.733
_cell_angle_alpha 90.00
_cell_angle_beta 90.00
_cell_angle_gamma 90.00
loop_
_atom_site_label
_atom_site_type_symbol
_atom_site_fract_x
_atom_site_fract_y
_atom_site_fract_z
Ca1 Ca 0.137 0.750 0.125
Hg1 Hg 0.000 0.000 0.500
O1 O 0.000 0.000 0.000
# D(E_F), states/eV per atom: 0.06
# Crystal system: tetragonal
# Offset from the most stable computed form, eV per formula unit: 0.00
# Energy, eV/atom: -3.88
# V, Å³ per cell: 404.0
# Uncorrected formation energy, meV per atom: -1567

(2)
# LiReS3 GGA-PBE relaxed
data_LiReS3
_symmetry_space_group_name_H-M 'C 1 2/m 1'
_symmetry_Int_Tables_number 12
_cell_length_a 13.074
_cell_length_b 4.592
_cell_length_c 8.166
_cell_angle_alpha 90.00
_cell_angle_beta 105.39
_cell_angle_gamma 90.00
loop_
_symmetry_equiv_pos_as_xyz
'x,y,z'
'-x,-y,-z'
'-x,y,-z'
'x,-y,z'
'x+1/2,y+1/2,z'
'-x+1/2,-y+1/2,-z'
'-x+1/2,y+1/2,-z'
'x+1/2,-y+1/2,z'
loop_
_atom_site_label
_atom_site_type_symbol
_atom_site_fract_x
_atom_site_fract_y
_atom_site_fract_z
Li1 Li 0.068 0.000 0.269
Re1 Re 0.179 0.500 0.825
S1 S 0.003 0.500 0.769
S2 S 0.212 0.000 0.896
S3 S 0.236 0.500 0.597
# D(E_F), states/eV per atom: 0.57
# Crystal system: monoclinic
# Offset from the most stable computed form, eV per formula unit: 0.00
# Energy, eV/atom: -5.74
# V, Å³ per cell: 472.8
# Uncorrected formation energy, meV per atom: -387

(3)
# YMnNi2 GGA-PBE relaxed
data_YMnNi2
_symmetry_space_group_name_H-M 'I -4 m 2'
_symmetry_Int_Tables_number 119
_symmetry_space_group_name_Hall 'I -4 -2'
_cell_length_a 3.833
_cell_length_b 3.833
_cell_length_c 8.529
_cell_angle_alpha 90.00
_cell_angle_beta 90.00
_cell_angle_gamma 90.00
loop_
_atom_site_label
_atom_site_type_symbol
_atom_site_fract_x
_atom_site_fract_y
_atom_site_fract_z
Y1 Y 0.000 0.000 0.000
Mn1 Mn 0.000 0.500 0.750
Ni1 Ni 0.000 0.000 0.500
Ni2 Ni 0.000 0.500 0.250
# D(E_F), states/eV per atom: 0.65
# Crystal system: tetragonal
# Energy of formation from the pure elements, kJ per mole of atoms: -3
# Offset from the most stable computed form, eV per formula unit: 0.79
# Energy, eV/atom: -6.83
# V, Å³ per cell: 125.3

(4)
# Dy2Y3N4 GGA-PBE relaxed
data_Dy2Y3N4
_symmetry_space_group_name_H-M 'C 1 2/m 1'
_symmetry_Int_Tables_number 12
_cell_length_a 6.053
_cell_length_b 3.495
_cell_length_c 14.455
_cell_angle_alpha 90.00
_cell_angle_beta 90.07
_cell_angle_gamma 90.00
loop_
_symmetry_equiv_pos_as_xyz
'x,y,z'
'-x,-y,-z'
'-x,y,-z'
'x,-y,z'
'x+1/2,y+1/2,z'
'-x+1/2,-y+1/2,-z'
'-x+1/2,y+1/2,-z'
'x+1/2,-y+1/2,z'
loop_
_atom_site_label
_atom_site_type_symbol
_atom_site_fract_x
_atom_site_fract_y
_atom_site_fract_z
Dy1 Dy 0.167 0.000 0.191
Y1 Y 0.000 0.500 0.000
Y2 Y 0.166 0.000 0.616
N1 N 0.001 0.500 0.299
N2 N 0.166 0.000 0.900
# D(E_F), states/eV per atom: 0.45
# Crystal system: monoclinic
# Energy, eV/atom: -8.37
# V, Å³ per cell: 305.8
# Uncorrected formation energy, meV per atom: -1497

(5)
# Ca5Cd12Pd2 GGA-PBE relaxed
data_Ca5Cd12Pd2
_symmetry_space_group_name_H-M 'C 1 2/m 1'
_symmetry_Int_Tables_number 12
_cell_length_a 14.036
_cell_length_b 9.003
_cell_length_c 7.449
_cell_angle_alpha 90.00
_cell_angle_beta 90.15
_cell_angle_gamma 90.00
loop_
_symmetry_equiv_pos_as_xyz
'x,y,z'
'-x,-y,-z'
'-x,y,-z'
'x,-y,z'
'x+1/2,y+1/2,z'
'-x+1/2,-y+1/2,-z'
'-x+1/2,y+1/2,-z'
'x+1/2,-y+1/2,z'
loop_
_atom_site_label
_atom_site_type_symbol
_atom_site_fract_x
_atom_site_fract_y
_atom_site_fract_z
Ca1 Ca 0.000 0.000 0.000
Ca2 Ca 0.176 0.500 0.489
Ca3 Ca 0.226 0.500 0.978
Cd1 Cd 0.005 0.500 0.797
Cd2 Cd 0.098 0.000 0.456
Cd3 Cd 0.134 0.238 0.205
Cd4 Cd 0.143 0.209 0.762
Pd1 Pd 0.000 0.287 0.500
# D(E_F), states/eV per atom: 0.53
# Crystal system: monoclinic
# Energy of formation from the pure elements, kJ per mole of atoms: -28
# Energy, eV/atom: -1.94
# V, Å³ per cell: 941.3

(6)
# Mg7AgAu4 GGA-PBE relaxed
data_Mg7AgAu4
_symmetry_space_group_name_H-M 'C 1 2/m 1'
_symmetry_Int_Tables_number 12
_cell_length_a 13.361
_cell_length_b 4.956
_cell_length_c 9.480
_cell_angle_alpha 90.00
_cell_angle_beta 127.48
_cell_angle_gamma 90.00
loop_
_symmetry_equiv_pos_as_xyz
'x,y,z'
'-x,-y,-z'
'-x,y,-z'
'x,-y,z'
'x+1/2,y+1/2,z'
'-x+1/2,-y+1/2,-z'
'-x+1/2,y+1/2,-z'
'x+1/2,-y+1/2,z'
loop_
_atom_site_label
_atom_site_type_symbol
_atom_site_fract_x
_atom_site_fract_y
_atom_site_fract_z
Mg1 Mg 0.000 0.000 0.000
Mg2 Mg 0.067 0.500 0.343
Mg3 Mg 0.177 0.000 0.617
Mg4 Mg 0.215 0.500 0.871
Ag1 Ag 0.000 0.500 0.000
Au1 Au 0.067 0.000 0.775
Au2 Au 0.204 0.000 0.343
# D(E_F), states/eV per atom: 0.38
# Crystal system: monoclinic
# Energy of formation from the pure elements, kJ per mole of atoms: -33
# Energy, eV/atom: -2.61
# V, Å³ per cell: 498.2